1.
A plane-wave DFT calculation with GGA-PBE was carried out for a geometry-optimized Tb2Th3Co2 structure.

Results
Formation enthalpy at 0 K (eV/atom): -0.2078

extended XYZ file:
```
7
Lattice="-0.8293 2.9941 -2.0151 -4.9262 2.6264 2.5270 2.3858 6.6240 5.4577" Properties=species:S:1:pos:R:3 pbc="T T T"
Tb -1.9461 3.0412 1.9170
Tb -1.4236 9.2033 4.0526
Th -0.4146 1.4970 -1.0076
Th -3.2821 6.1026 3.6130
Th -0.0876 6.1418 2.3566
Co -2.8857 8.1174 6.4434
Co -0.4841 4.1271 -0.4738
```

2.
A plane-wave DFT calculation with GGA-PBE was carried out for a geometry-optimized Er4GeRu2 structure.

Results
Formation enthalpy at 0 K (eV/atom): -0.4118

extended XYZ file:
```
14
Lattice="6.4098 -1.2016 -0.7581 -1.4038 8.5954 -0.5381 -2.9676 -4.5322 6.8378" Properties=species:S:1:pos:R:3 pbc="T T T"
Er -1.1998 0.3548 2.5395
Er 0.9643 3.1002 0.9516
Er 2.8425 1.1275 3.5243
Er 2.2370 -3.2777 4.2604
Er 1.7235 -1.3308 1.5051
Er -0.9676 -2.6209 4.6223
Er -0.1660 1.8299 5.2710
Er 4.1572 3.6413 -0.0125
Ge -1.2426 3.2800 2.8928
Ge -2.5821 -4.0046 6.6594
Ru 0.9349 -0.6941 4.1661
Ru 2.2934 5.4576 1.1346
Ru 2.9977 1.1001 0.6617
Ru -2.2596 -0.0411 5.2746
```

3.
A plane-wave DFT calculation with GGA-PBE was carried out for a geometry-optimized PaVNiSn structure.

Results
Formation enthalpy at 0 K (eV/atom): -0.0160

extended XYZ file:
```
4
Lattice="4.6690 0.0000 0.0000 2.3345 4.0434 0.0000 2.3345 1.3478 3.8122" Properties=species:S:1:pos:R:3 pbc="T T T"
Ni 7.0035 4.0434 2.8591
Pa 4.6690 2.6956 1.9061
Sn 0.0000 0.0000 0.0000
V 2.3345 1.3478 0.9530
```

4.
A plane-wave DFT calculation with GGA-PBE was carried out for a geometry-optimized NaCeBeF6 structure.

Results
Formation energy without anion corrections (eV/atom): -3.3037

extended XYZ file:
```
18
Lattice="-2.9205 -2.1309 4.2168 2.5236 -3.3767 -3.6167 7.3127 0.0263 5.0780" Properties=species:S:1:pos:R:3 pbc="T T T"
Na 0.0000 0.0000 0.0000
Na 3.6563 0.0132 2.5390
Ce 2.5371 -2.9548 0.2640
Ce 4.3787 -2.5264 5.4141
Be 0.7224 -2.5396 2.8751
Be 6.1934 -2.9417 2.8030
F 0.5507 -3.4697 1.3492
F -0.8968 -3.0797 3.4316
F 6.0450 -3.8183 1.2433
F 7.8126 -2.4016 2.2464
F 2.3266 -1.9373 2.3397
F 1.4686 -4.0095 3.5861
F 6.9015 -4.4029 3.5688
F 0.8708 -1.6629 4.4348
F 5.4472 -1.4717 2.0920
F 0.0143 -1.0783 2.1092
F 4.5892 -3.5440 3.3384
F 6.3651 -2.0115 4.3289
```

| no. | spin magnetization (μB/cell) |
| --- | --- |
| 1 | 0.0 |
| 2 | 0.0 |
| 3 | 0.0 |
| 4 | 2.0 |